PrMg5Sc4 | PBE-GGA | relaxed

Results
As for the density of states at the Fermi level: 1.40 states/eV/atom. For the volume, the calculation gives 24.5 Å³ per atom. As for the density: 2.99 g/cm3. As for the energy relative to the elements: -0.05 eV per atom.

a = 3.615 Å, b = 3.615 Å, c = 18.775 Å
α = 90.00°, β = 90.00°, γ = 90.00°
Fractional positions:
Sc  0.000  0.000  0.595
Sc  0.000  0.000  0.216
Sc  0.000  0.000  0.405
Sc  0.000  0.000  0.784
Pr  0.000  0.000  0.000
Mg  0.500  0.500  0.880
Mg  0.500  0.500  0.120
Mg  0.500  0.500  0.310
Mg  0.500  0.500  0.500
Mg  0.500  0.500  0.690